Density functional theory data (GGA-PBE) for TbEr2ScIn2 after structural relaxation.

Properties
Formation enthalpy at 0 K, eV per atom: -0.35

Unit cell a=5.266 b=9.147 c=6.652 alpha=90.00 beta=90.00 gamma=90.00
Sites, in units of the cell vectors:
Tb: 0.000 0.005 0.000
Tb: 0.000 0.995 0.500
Er: 0.000 0.336 0.260
Er: 0.000 0.664 0.760
Er: 0.500 0.493 0.002
Er: 0.500 0.507 0.502
Sc: 0.500 0.171 0.743
Sc: 0.500 0.829 0.243
In: 0.000 0.328 0.754
In: 0.000 0.672 0.254
In: 0.500 0.159 0.249
In: 0.500 0.841 0.749

Density functional theory data (GGA-PBE) for Nd6Y5Er after structural relaxation.

Properties
Formation enthalpy at 0 K, eV per atom: 0.01
ΔE to the lowest computed polymorph, eV per atom: 0.006

Unit cell a=9.576 b=9.576 c=9.576 alpha=148.81 beta=116.01 gamma=72.90
Sites, in units of the cell vectors:
Nd: 0.083 0.334 0.749
Nd: 0.249 0.000 0.249
Nd: 0.416 0.666 0.749
Nd: 0.584 0.334 0.251
Nd: 0.751 0.000 0.751
Nd: 0.917 0.666 0.251
Y: 0.166 0.166 0.000
Y: 0.334 0.834 0.500
Y: 0.500 0.500 0.000
Y: 0.666 0.166 0.500
Y: 0.834 0.834 0.000
Er: 0.000 0.500 0.500

Density functional theory data (GGA-PBE) for Pm6P3AuS2 after structural relaxation.

Properties
Uncorrected formation energy, eV/atom: -1.61

Unit cell a=9.213 b=9.213 c=8.290 alpha=102.84 beta=102.84 gamma=25.80
Sites, in units of the cell vectors:
Pm: 0.000 0.000 0.234
Pm: 0.000 0.000 0.766
Pm: 0.327 0.327 0.415
Pm: 0.334 0.334 0.912
Pm: 0.666 0.666 0.088
Pm: 0.673 0.673 0.585
P: 0.166 0.166 0.334
P: 0.500 0.500 0.000
P: 0.834 0.834 0.666
Au: 0.500 0.500 0.500
S: 0.168 0.168 0.836
S: 0.832 0.832 0.164

Calculated total moment in order - 0.0; 0.0; 0.0 μB/f.u.
Calculated D(E_F) in order - 14.1; 16.7; 5.2 states/eV per cell